No. 1
An optimized crystal structure of Y3TlN. Source: Alexandria via LeMat-Bulk, functional PBE.

It has space group C2/m (No. 12), with a = 12.5938 Å, b = 5.1067 Å, c = 8.2556 Å, α = 90.00°, β = 109.27° and γ = 90.00°. The distinct sites, in fractional coordinates, are Y at (0.0083, 0.0000, 0.2562), Y at (0.2153, 0.5000, 0.3671), Y at (0.2192, 0.5000, 0.8464), Tl at (0.0000, 0.5000, 0.0000), Tl at (0.0000, 0.5000, 0.5000) and N at (0.1945, 0.0000, 0.3493).

The value obtained for the uncorrected formation energy is -0.79 eV per atom. As for the calculated density: 6.4 g cm⁻³. Its crystal system is monoclinic. The energy is -6.802 eV/atom. The calculation puts the total magnetic moment at 0.000 μB/atom.


No. 2
An optimized crystal structure of Y3TlN. Source: Alexandria via LeMat-Bulk, functional PBE.

It has space group P6_3/mmc (No. 194), with a = 4.5943 Å, b = 4.5943 Å, c = 16.0028 Å, α = 90.00°, β = 90.00° and γ = 120.00°. The distinct sites, in fractional coordinates, are Y at (0.0000, 0.0000, 0.2500), Y at (0.3333, 0.6667, 0.0635), Tl at (0.3333, 0.6667, 0.2500) and N at (0.0000, 0.0000, 0.0000).

The value obtained for the uncorrected formation energy is 0.40 eV per atom. As for the calculated density: 5.5 g cm⁻³. Its crystal system is hexagonal. The energy is -5.619 eV/atom. The calculation puts the total magnetic moment at 0.000 μB/atom.


No. 3
An optimized crystal structure of Y2TlN. Source: Alexandria via LeMat-Bulk, functional PBE.

It has space group R-3m (No. 166, hexagonal axes), with a = 3.5586 Å, b = 3.5586 Å, c = 23.6098 Å, α = 90.00°, β = 90.00° and γ = 120.00°. The distinct sites, in fractional coordinates, are Y at (0.0000, 0.0000, 0.2230), Tl at (0.0000, 0.0000, 0.0000) and N at (0.0000, 0.0000, 0.5000).

The value obtained for the uncorrected formation energy is -1.01 eV per atom. As for the calculated density: 7.6 g cm⁻³. Its crystal system is trigonal. The energy is -6.918 eV/atom. The calculation puts the total magnetic moment at 0.000 μB/atom.


No. 4
An optimized crystal structure of Y3TlN. Source: Alexandria via LeMat-Bulk, functional PBE.

It has space group C2/c (No. 15), with a = 6.6398 Å, b = 11.7763 Å, c = 6.5211 Å, α = 90.00°, β = 101.71° and γ = 90.00°. The distinct sites, in fractional coordinates, are Y at (0.0000, 0.2456, 0.2500), Y at (0.2353, 0.0308, 0.0011), Tl at (0.0000, 0.2580, 0.7500) and N at (0.0000, 0.0558, 0.2500).

The value obtained for the uncorrected formation energy is -0.79 eV per atom. As for the calculated density: 6.5 g cm⁻³. Its crystal system is monoclinic. The energy is -6.804 eV/atom. The calculation puts the total magnetic moment at 0.000 μB/atom.


The calculation returns the following N(E_F) values, one per record and in order: 0.777, 1.066, 0.557, 0.828 states/eV/atom.